[1]
DyScNiPd, relaxed, DFT PBE-GGA; DOS at the Fermi energy = 1.048 states/eV/atom; formation enthalpy at 0 K = -625 meV per atom; symmetry = F-43m, No. 216; ρ = 8.2 g/cm3
1.0
-3.5418 -3.0201 0.9555
-0.5388 -1.7145 4.3987
-3.6710 1.4108 2.6668
Pd Sc Ni Dy
1 1 1 1
Cartesian
-5.8137 -2.4928 6.0157
-3.8758 -1.6619 4.0105
-1.9379 -0.8309 2.0052
0.0000 0.0000 0.0000

[2]
Sr2LiAl4Si3, relaxed, DFT PBE-GGA; DOS at the Fermi energy = 0.468 states/eV/atom; symmetry = P-4m2, No. 115; ρ = 3.0 g/cm3; final energy = -3.870 eV per atom
1.0
4.4250 0.0000 0.0000
0.0000 4.4250 0.0000
0.0000 0.0000 10.6028
Sr Al Si Li
2 4 3 1
Cartesian
2.2125 0.0000 2.6571
0.0000 2.2125 7.9457
2.2125 0.0000 6.6960
0.0000 2.2125 3.9068
2.2125 2.2125 0.0000
0.0000 0.0000 0.0000
0.0000 2.2125 1.3378
0.0000 0.0000 5.3014
2.2125 0.0000 9.2650
2.2125 2.2125 5.3014

[3]
ZnClO, relaxed, DFT PBE-GGA; DOS at the Fermi energy = 0.133 states/eV/atom; symmetry = Pbca, No. 61; ρ = 3.4 g/cm3; final energy = -3.356 eV per atom
1.0
-1.9843 -5.3008 0.0845
4.5789 -1.6448 4.3401
-7.6837 3.0238 9.2524
Cl Zn O
8 8 8
Cartesian
0.5005 -3.4120 3.8327
-1.5866 -2.0066 9.9509
3.0745 -1.3298 5.2898
-5.5896 -0.5099 9.8442
-8.1635 -2.5920 8.3871
-4.1606 -4.0888 8.4938
-0.9285 0.1669 5.1831
-3.5024 -1.9153 3.7261
-7.3918 -1.6592 10.8183
2.4326 -5.3161 3.9644
-3.6372 -0.0036 5.0845
-3.5073 -3.0571 6.1903
-1.5817 -0.8648 7.4867
-7.5217 1.3942 9.7125
-1.4519 -3.9182 8.5925
2.3028 -2.2627 2.8587
0.3507 -0.5141 7.8798
-1.6689 -2.7953 6.9481
-4.1495 -0.7610 12.5340
-6.1691 -3.0423 11.6024
-3.4202 -1.1265 6.7288
1.0801 -0.8796 2.0746
-0.9396 -3.1609 1.1430
-5.4398 -3.4078 5.7972

[4]
BaNaSr2Ni, relaxed, DFT PBE-GGA; DOS at the Fermi energy = 0.666 states/eV/atom; formation enthalpy at 0 K = -7 meV per atom; symmetry = P4/mmm, No. 123; ρ = 3.0 g/cm3
1.0
5.9736 0.0000 0.0000
0.0000 5.9736 0.0000
0.0000 0.0000 6.0942
Na Ba Sr Ni
1 1 2 1
Cartesian
2.9868 2.9868 3.0471
0.0000 0.0000 3.0471
0.0000 2.9868 0.0000
2.9868 0.0000 0.0000
0.0000 0.0000 0.0000

[5]
Pm3Pr2HoS6, relaxed, DFT PBE-GGA; DOS at the Fermi energy = 0.414 states/eV/atom; symmetry = C2/m, No. 12; ρ = 6.4 g/cm3; final energy = -6.449 eV per atom
1.0
-2.3274 -5.5965 3.4970
4.9472 4.0828 2.7970
-5.5206 4.2012 0.7205
S Pm Pr Ho
6 3 2 1
Cartesian
-3.5085 2.7838 2.0319
-3.3398 0.4588 5.4182
0.4390 2.2285 1.5963
-1.0010 3.5709 5.1932
-1.8998 -0.8835 1.8213
0.6077 -0.0964 4.9826
0.9367 4.5198 3.2776
-1.4504 1.3437 3.5072
-3.8375 -1.8325 3.7369
2.5256 0.8607 3.0300
0.0942 -2.3745 3.2640
0.0000 0.0000 0.0000

[6]
K4Na2Se, relaxed, DFT PBE-GGA; DOS at the Fermi energy = 0.088 states/eV/atom; symmetry = I4/mmm, No. 139; ρ = 1.2 g/cm3; final energy = -1.865 eV per atom
1.0
-1.9075 -5.6787 2.0146
5.4004 -2.5484 -2.0701
2.5364 5.8711 9.0372
K Se Na
4 1 2
Cartesian
1.3464 0.5525 2.8323
2.7002 -1.2742 -1.0351
4.6830 -2.9085 6.1494
-0.9537 -2.8393 1.0073
0.0000 0.0000 0.0000
3.0342 -3.5851 2.6810
2.9952 1.2291 6.3007

[7]
Pr3Nd6Ag, relaxed, DFT PBE-GGA; DOS at the Fermi energy = 1.406 states/eV/atom; formation enthalpy at 0 K = 56 meV per atom; symmetry = Pnnm, No. 58; ρ = 6.7 g/cm3
1.0
5.4134 0.0000 -0.0440
0.0000 10.5298 0.0000
0.0994 0.0000 12.0933
Pr Nd Ag
6 12 2
Cartesian
2.7765 9.2430 8.5055
2.7364 1.2868 3.5438
0.0794 3.9782 9.6125
5.4335 6.5516 2.4368
2.7067 5.2649 -0.0220
0.0497 0.0000 6.0467
0.0579 6.9997 6.9280
2.7979 1.7348 11.1900
5.4239 2.9033 1.3910
2.7459 8.1682 4.5896
2.7312 4.5799 3.1121
5.4549 3.5301 5.1214
2.7670 2.3616 7.4597
0.0889 7.6265 10.6583
5.4877 0.6850 9.1368
2.7816 5.9499 8.9372
2.7149 8.7950 0.8593
0.0252 9.8448 2.9125
0.0000 0.0000 0.0000
2.7564 5.2649 6.0247

[8]
DyCd5Pd6, relaxed, DFT PBE-GGA; DOS at the Fermi energy = 0.329 states/eV/atom; formation enthalpy at 0 K = -510 meV per atom; symmetry = P2/m, No. 10; ρ = 10.4 g/cm3
1.0
4.6702 0.0021 -0.6833
-0.0031 6.5512 -0.0008
-0.4690 0.0007 7.1718
Cd Pd Dy
5 6 1
Cartesian
2.8933 6.5528 1.9657
2.9100 3.2772 1.9240
1.3048 0.0012 4.5220
1.2881 3.2768 4.5637
-0.0015 3.2756 -0.0004
3.6294 1.6675 4.1918
2.3343 1.6731 -0.3418
0.5687 4.8864 2.2959
1.8638 4.8809 6.8296
3.6279 4.8881 4.1914
0.5702 1.6659 2.2963
0.0000 0.0000 0.0000

[9]
CaPmNd, relaxed, DFT PBE-GGA; DOS at the Fermi energy = 1.495 states/eV/atom; formation enthalpy at 0 K = 28 meV per atom; symmetry = P4/nmm, No. 129; ρ = 4.9 g/cm3
1.0
3.7235 0.0000 0.0000
0.0000 3.7235 0.0000
0.0000 0.0000 15.9934
Pm Ca Nd
2 2 2
Cartesian
0.0000 1.8617 9.2975
1.8617 0.0000 6.6959
1.8617 0.0000 1.4630
0.0000 1.8617 14.5304
1.8617 0.0000 11.7558
0.0000 1.8617 4.2376

[10]
NdZn3PtRh, relaxed, DFT PBE-GGA; DOS at the Fermi energy = 0.382 states/eV/atom; formation enthalpy at 0 K = -499 meV per atom; symmetry = Cmcm, No. 63; ρ = 9.5 g/cm3
1.0
5.4742 0.0000 0.0000
0.0000 6.3928 0.0000
0.0000 -3.1964 6.3943
Zn Nd Pt Rh
6 2 2 2
Cartesian
0.0000 1.9452 0.0000
2.7371 4.4476 0.0000
0.0000 4.4476 0.0000
2.7371 1.9452 0.0000
1.3685 0.0000 1.8040
4.1056 3.1964 4.5904
4.1056 0.0000 3.4391
1.3685 3.1964 2.9552
4.1056 3.1964 1.9755
1.3685 0.0000 4.4188
4.1056 0.0000 0.7910
1.3685 3.1964 5.6033

[11]
US2I, relaxed, DFT PBE-GGA; DOS at the Fermi energy = 1.421 states/eV/atom; symmetry = P3m1, No. 156; ρ = 5.1 g/cm3; final energy = -6.146 eV per atom
1.0
3.9150 0.0025 0.0018
1.9551 3.3919 0.0021
-0.0012 0.0001 10.5874
S I U
2 1 1
Cartesian
5.0781 2.9365 4.8373
3.1227 1.8061 2.0126
3.1253 1.8078 8.4932
1.1654 0.6742 3.4256

[12]
LaCr2Cu, relaxed, DFT PBE-GGA; DOS at the Fermi energy = 0.840 states/eV/atom; formation enthalpy at 0 K = 295 meV per atom; symmetry = Cm, No. 8; ρ = 6.1 g/cm3
1.0
4.2764 -0.0368 0.0196
2.1708 3.6846 0.0196
2.1130 1.1955 5.2454
Cr Cu La
2 1 1
Cartesian
6.4185 3.6316 4.1932
2.1191 1.1990 4.3838
4.2740 2.4182 3.3145
2.1416 1.2117 1.2807

[13]
La2InNiSe, relaxed, DFT PBE-GGA; DOS at the Fermi energy = 1.317 states/eV/atom; symmetry = P4/mmm, No. 123; ρ = 4.8 g/cm3; final energy = -3.801 eV per atom
1.0
6.0009 0.0000 0.0000
0.0000 5.1225 0.0000
0.0000 0.0000 6.0009
In La Se Ni
1 2 1 1
Cartesian
0.0000 0.0000 0.0000
3.0005 0.0000 0.0000
0.0000 0.0000 3.0005
0.0000 2.5613 0.0000
3.0005 2.5613 3.0005

[14]
Mg2InGaNi, relaxed, DFT PBE-GGA; DOS at the Fermi energy = 0.415 states/eV/atom; formation enthalpy at 0 K = -53 meV per atom; symmetry = P4/mmm, No. 123; ρ = 4.4 g/cm3
1.0
4.9142 0.0000 0.0000
0.0000 4.9142 0.0000
0.0000 0.0000 4.5377
In Mg Ni Ga
1 2 1 1
Cartesian
2.4571 2.4571 2.2689
2.4571 0.0000 0.0000
0.0000 2.4571 0.0000
0.0000 0.0000 0.0000
0.0000 0.0000 2.2689